Ca2HgMo: PBEsol geometry, meta-GGA SCAN.

Output
The value obtained for the total energy is -30.0765 eV/atom. The calculation puts the energy of formation at 2.07 eV/f.u.

abc: 3.224 3.224 30.742
angles: 90.00 90.00 120.00
Fractional coordinates of all 12 atoms:
1 Ca 0.000 0.000 0.246
2 Ca 0.000 0.000 0.754
3 Ca 0.333 0.667 0.421
4 Ca 0.333 0.667 0.913
5 Ca 0.667 0.333 0.087
6 Ca 0.667 0.333 0.579
7 Hg 0.000 0.000 0.000
8 Hg 0.333 0.667 0.667
9 Hg 0.667 0.333 0.333
10 Mo 0.000 0.000 0.500
11 Mo 0.333 0.667 0.167
12 Mo 0.667 0.333 0.833

---

Ca2HgMo: PBEsol geometry, meta-GGA SCAN.

Output
The value obtained for the total energy is -30.1477 eV/atom. The calculation puts the energy of formation at 1.79 eV/f.u.

abc: 3.104 3.104 9.878
angles: 90.00 90.00 90.00
Fractional coordinates of all 4 atoms:
1 Ca 0.000 0.000 0.000
2 Ca 0.500 0.500 0.342
3 Hg 0.000 0.000 0.570
4 Mo 0.500 0.500 0.769

---

CaHg2Mo: PBEsol geometry, meta-GGA SCAN.

Output
The value obtained for the total energy is -44.8613 eV/atom. The calculation puts the energy of formation at 1.44 eV/f.u. The value obtained for the energy above the most stable polymorph in this dataset is 173 meV/atom.

abc: 6.994 6.994 6.994
angles: 90.00 90.00 90.00
Fractional coordinates of all 16 atoms:
1 Ca 0.000 0.000 0.000
2 Ca 0.000 0.500 0.500
3 Ca 0.500 0.000 0.500
4 Ca 0.500 0.500 0.000
5 Hg 0.000 0.000 0.500
6 Hg 0.000 0.500 0.000
7 Hg 0.250 0.250 0.250
8 Hg 0.250 0.750 0.750
9 Hg 0.500 0.000 0.000
10 Hg 0.500 0.500 0.500
11 Hg 0.750 0.250 0.750
12 Hg 0.750 0.750 0.250
13 Mo 0.250 0.250 0.750
14 Mo 0.250 0.750 0.250
15 Mo 0.750 0.250 0.250
16 Mo 0.750 0.750 0.750

---

CaHg4Mo: PBEsol geometry, meta-GGA SCAN.

Output
The value obtained for the total energy is -52.6214 eV/atom. The calculation puts the energy of formation at 1.48 eV/f.u.

abc: 5.709 5.709 5.709
angles: 60.00 60.00 60.00
Fractional coordinates of all 6 atoms:
1 Ca 0.000 0.000 0.000
2 Hg 0.375 0.375 0.375
3 Hg 0.375 0.375 0.874
4 Hg 0.375 0.874 0.375
5 Hg 0.874 0.375 0.375
6 Mo 0.750 0.750 0.750

---

Ca2HgMo: PBEsol geometry, meta-GGA SCAN.

Output
The value obtained for the total energy is -30.1989 eV/atom. The calculation puts the energy of formation at 1.58 eV/f.u.

abc: 4.516 4.516 9.055
angles: 90.00 90.00 90.00
Fractional coordinates of all 8 atoms:
1 Ca 0.000 0.000 0.000
2 Ca 0.000 0.500 0.250
3 Ca 0.500 0.000 0.750
4 Ca 0.500 0.500 0.500
5 Hg 0.000 0.000 0.500
6 Hg 0.500 0.500 0.000
7 Mo 0.000 0.500 0.750
8 Mo 0.500 0.000 0.250

---

CaHg2Mo: PBEsol geometry, meta-GGA SCAN.

Output
The value obtained for the total energy is -45.0346 eV/atom. The calculation puts the energy of formation at 0.74 eV/f.u. The value obtained for the energy above the most stable polymorph in this dataset is 0 meV/atom.

abc: 3.040 3.040 8.641
angles: 90.00 90.00 90.00
Fractional coordinates of all 4 atoms:
1 Ca 0.000 0.000 0.000
2 Hg 0.500 0.500 0.268
3 Hg 0.500 0.500 0.732
4 Mo 0.000 0.000 0.500